Entry P
# TiSeI2O

An optimized crystal structure of TiSeI2O (GGA-PBE, Alexandria).

Summary:
DOS(E_F), states/eV/atom: 1.7175

The structure in CIF format:
```
data_TiSeI2O
_chemical_formula_sum 'Ti1 Se1 I2 O1'
_space_group_name_H-M_alt 'P 4/m m m'
_space_group_IT_number 123
_space_group_name_Hall '-P 4 2'
_cell_length_a 5.8034
_cell_length_b 5.8034
_cell_length_c 3.8110
_cell_angle_alpha 90.00
_cell_angle_beta 90.00
_cell_angle_gamma 90.00
loop_
_atom_site_label
_atom_site_fract_x
_atom_site_fract_y
_atom_site_fract_z
_atom_site_occupancy
Ti1 0.0000 0.0000 0.0000 1
Se1 0.5000 0.5000 0.5000 1
I1 0.0000 0.5000 0.5000 1
O1 0.5000 0.5000 0.0000 1
```

=====

Entry Q
# TiSeI2O

An optimized crystal structure of TiSeI2O (GGA-PBE, Alexandria).

Summary:
DOS(E_F), states/eV/atom: 1.0981

The structure in CIF format:
```
data_TiSeI2O
_chemical_formula_sum 'Ti1 Se1 I2 O1'
_space_group_name_H-M_alt 'P 4/m m m'
_space_group_IT_number 123
_space_group_name_Hall '-P 4 2'
_cell_length_a 5.6559
_cell_length_b 5.6559
_cell_length_c 3.7414
_cell_angle_alpha 90.00
_cell_angle_beta 90.00
_cell_angle_gamma 90.00
loop_
_atom_site_label
_atom_site_fract_x
_atom_site_fract_y
_atom_site_fract_z
_atom_site_occupancy
Ti1 0.0000 0.0000 0.0000 1
Se1 0.5000 0.5000 0.5000 1
I1 0.0000 0.5000 0.0000 1
O1 0.0000 0.0000 0.5000 1
```

=====

Relative to the most stable one, in meV per atom, the structures come out at entry P 1035; entry Q 0.

=====

Entry P
# TlSeIO2

An optimized crystal structure of TlSeIO2 (GGA-PBE, Alexandria).

Summary:
DOS(E_F), states/eV/atom: 0.9392

The structure in CIF format:
```
data_TlSeIO2
_chemical_formula_sum 'Tl1 Se1 I1 O2'
_space_group_name_H-M_alt 'P 4/m m m'
_space_group_IT_number 123
_space_group_name_Hall '-P 4 2'
_cell_length_a 4.1329
_cell_length_b 4.1329
_cell_length_c 8.1923
_cell_angle_alpha 90.00
_cell_angle_beta 90.00
_cell_angle_gamma 90.00
loop_
_atom_site_label
_atom_site_fract_x
_atom_site_fract_y
_atom_site_fract_z
_atom_site_occupancy
Tl1 0.0000 0.0000 0.0000 1
Se1 0.5000 0.5000 0.5000 1
I1 0.0000 0.0000 0.5000 1
O1 0.0000 0.5000 0.0000 1
```

=====

Entry Q
# TlSeIO2

An optimized crystal structure of TlSeIO2 (GGA-PBE, Alexandria).

Summary:
DOS(E_F), states/eV/atom: 0.5991

The structure in CIF format:
```
data_TlSeIO2
_chemical_formula_sum 'Tl1 Se1 I1 O2'
_space_group_name_H-M_alt 'P 4/m m m'
_space_group_IT_number 123
_space_group_name_Hall '-P 4 2'
_cell_length_a 4.2496
_cell_length_b 4.2496
_cell_length_c 5.8785
_cell_angle_alpha 90.00
_cell_angle_beta 90.00
_cell_angle_gamma 90.00
loop_
_atom_site_label
_atom_site_fract_x
_atom_site_fract_y
_atom_site_fract_z
_atom_site_occupancy
Tl1 0.0000 0.0000 0.0000 1
Se1 0.5000 0.5000 0.5000 1
I1 0.5000 0.5000 0.0000 1
O1 0.0000 0.5000 0.5000 1
```

=====

Relative to the most stable one, in meV per atom, the structures come out at entry P 249; entry Q 0.

=====

Entry P
# TlSeI2O

An optimized crystal structure of TlSeI2O (GGA-PBE, Alexandria).

Summary:
DOS(E_F), states/eV/atom: 0.0317

The structure in CIF format:
```
data_TlSeI2O
_chemical_formula_sum 'Tl1 Se1 I2 O1'
_space_group_name_H-M_alt 'P 4/m m m'
_space_group_IT_number 123
_space_group_name_Hall '-P 4 2'
_cell_length_a 6.1324
_cell_length_b 6.1324
_cell_length_c 3.8881
_cell_angle_alpha 90.00
_cell_angle_beta 90.00
_cell_angle_gamma 90.00
loop_
_atom_site_label
_atom_site_fract_x
_atom_site_fract_y
_atom_site_fract_z
_atom_site_occupancy
Tl1 0.0000 0.0000 0.0000 1
Se1 0.5000 0.5000 0.5000 1
I1 0.0000 0.5000 0.5000 1
O1 0.5000 0.5000 0.0000 1
```

=====

Entry Q
# TlSeI2O

An optimized crystal structure of TlSeI2O (GGA-PBE, Alexandria).

Summary:
DOS(E_F), states/eV/atom: 0.9534

The structure in CIF format:
```
data_TlSeI2O
_chemical_formula_sum 'Tl1 Se1 I2 O1'
_space_group_name_H-M_alt 'P 4/m m m'
_space_group_IT_number 123
_space_group_name_Hall '-P 4 2'
_cell_length_a 6.1429
_cell_length_b 6.1429
_cell_length_c 4.0554
_cell_angle_alpha 90.00
_cell_angle_beta 90.00
_cell_angle_gamma 90.00
loop_
_atom_site_label
_atom_site_fract_x
_atom_site_fract_y
_atom_site_fract_z
_atom_site_occupancy
Tl1 0.0000 0.0000 0.0000 1
Se1 0.5000 0.5000 0.5000 1
I1 0.0000 0.5000 0.0000 1
O1 0.0000 0.0000 0.5000 1
```

=====

Relative to the most stable one, in meV per atom, the structures come out at entry P 0; entry Q 607.